A plane-wave DFT calculation with GGA-PBE was carried out for LiNbSe2 after structural relaxation.

Computed properties:
calculated volume = 145.3 Å³/cell
total energy = -5.823 eV per atom
magnetization = 0.005 μB/f.u.

a b c (Å): 3.5238 3.5238 13.5077
angles (deg): 90.00 90.00 120.00
Space group P6_3/mmc (No. 194)
One atom of each set of equivalent atoms:
Li: 0.0000 0.0000 0.0000 [2 per cell]
Nb: 0.0000 0.0000 0.2500 [2 per cell]
Se: 0.3333 0.6667 0.1260 [4 per cell]